# FeNiSbPd (PBE-GGA, relaxed)
# DFT total energy = -5.859 eV per atom
# SG = F-43m (216)
# Energy above the most stable polymorph in this dataset = 0.00 eV per formula unit
data_FeNiSbPd
_cell_length_a 4.3478
_cell_length_b 4.3478
_cell_length_c 4.3478
_cell_angle_alpha 60.00
_cell_angle_beta 60.00
_cell_angle_gamma 60.00
_space_group_name_H-M_alt 'P 1'
_space_group_IT_number 1
loop_
_space_group_symop_operation_xyz
'x,y,z'
loop_
_atom_site_label
_atom_site_type_symbol
_atom_site_fract_x
_atom_site_fract_y
_atom_site_fract_z
Fe1 Fe 0.0000 0.0000 0.0000
Ni1 Ni 0.5000 0.5000 0.5000
Sb1 Sb 0.7500 0.7500 0.7500
Pd1 Pd 0.2500 0.2500 0.2500